(1)
Below is an optimized crystal structure of CaCoAg2, with properties calculated at the PBE level.

Calculated values
N(E_F) (states/eV per cell): 8.4
Excess energy over the best structure of this formula in the dataset (eV per formula unit): 0.00
Crystal system: orthorhombic
Total energy (eV per formula unit): -14.01
Volume (Å³/cell): 152.50
ΔE_f (meV per atom): 201.0
Calculated density (kg/m3): 6854

```
data_CaCoAg2
_symmetry_space_group_name_H-M 'I m m m'
_symmetry_Int_Tables_number 71
_symmetry_space_group_name_Hall '-I 2 2'
_cell_length_a 3.588
_cell_length_b 4.627
_cell_length_c 9.186
_cell_angle_alpha 90.00
_cell_angle_beta 90.00
_cell_angle_gamma 90.00
loop_
_atom_site_label
_atom_site_type_symbol
_atom_site_fract_x
_atom_site_fract_y
_atom_site_fract_z
_atom_site_occupancy
Ca1 Ca 0.000 0.000 0.000 1
Co1 Co 0.000 0.000 0.500 1
Ag1 Ag 0.000 0.500 0.222 1
```

(2)
Below is an optimized crystal structure of CaCoAg2, with properties calculated at the PBE level.

Calculated values
N(E_F) (states/eV per cell): 15.5
Excess energy over the best structure of this formula in the dataset (eV per formula unit): 1.01
Crystal system: trigonal
Total energy (eV per formula unit): -12.99
Volume (Å³/cell): 233.22
ΔE_f (meV per atom): 454.7
Calculated density (kg/m3): 6723

```
data_CaCoAg2
_symmetry_space_group_name_H-M 'R 3 m'
_symmetry_Int_Tables_number 160
_symmetry_space_group_name_Hall 'R 3 -2"'
_cell_length_a 3.1490
_cell_length_b 3.1490
_cell_length_c 27.1578
_cell_angle_alpha 90.00
_cell_angle_beta 90.00
_cell_angle_gamma 120.00
loop_
_atom_site_label
_atom_site_type_symbol
_atom_site_fract_x
_atom_site_fract_y
_atom_site_fract_z
_atom_site_occupancy
Ca1 Ca 0.0000 0.0000 0.0000 1
Co1 Co 0.0000 0.0000 0.2517 1
Ag1 Ag 0.0000 0.0000 0.5117 1
Ag2 Ag 0.0000 0.0000 0.7612 1
```